Record 1
Entry from Alexandria: crystalline TlGeHI2 at its relaxed geometry (PBE-GGA).

```
5
Lattice="-3.162 -5.053 -0.705 1.872 -0.377 -5.691 3.211 -2.177 1.201" Properties=species:S:1:pos:R:3 pbc="T T T"
I 0.936 -0.189 -2.845
I -1.581 -2.527 -0.353
H 1.606 -1.088 0.600
Tl 0.961 -3.804 -2.598
Ge 0.000 0.000 0.000
```

Values from the calculation:
crystal system = tetragonal
total energy = -14.07 eV/cell

---

Record 2
Entry from Alexandria: crystalline TlCr2Cl at its relaxed geometry (PBE-GGA).

```
4
Lattice="-2.354 2.017 -1.070 -2.172 -1.274 2.375 2.231 5.152 4.803" Properties=species:S:1:pos:R:3 pbc="T T T"
Cr -1.585 -0.854 1.878
Cr -0.557 1.519 4.087
Tl -1.162 1.978 1.259
Cl -1.133 3.917 4.849
```

Values from the calculation:
crystal system = orthorhombic
formation energy from raw total energies = 0.330 eV/atom
total energy = -22.14 eV/cell

---

Record 3
Entry from Alexandria: crystalline Ba3SrSm2Te6 at its relaxed geometry (PBE-GGA).

```
12
Lattice="8.167 0.000 0.001 -4.082 7.074 0.001 -1.362 -2.359 7.861" Properties=species:S:1:pos:R:3 pbc="T T T"
Ba -2.758 4.737 3.931
Ba 5.481 -0.022 3.931
Ba 1.362 2.358 3.931
Sr 0.000 0.000 0.000
Sm -0.005 4.719 0.001
Sm 4.090 2.354 0.001
Te 4.120 2.292 6.093
Te 2.686 4.651 1.745
Te -1.396 2.423 1.769
Te -0.074 4.714 6.093
Te 0.037 0.064 6.117
Te 2.797 0.001 1.769
```

Values from the calculation:
crystal system = monoclinic
formation energy from raw total energies = -1.619 eV/atom
total energy = -55.17 eV/cell

---

Record 4
Entry from Alexandria: crystalline Ac6Co2N at its relaxed geometry (PBE-GGA).

```
18
Lattice="-1.322 2.039 5.462 3.001 -8.029 6.926 6.834 8.479 1.691" Properties=species:S:1:pos:R:3 pbc="T T T"
Ac 3.227 2.702 6.173
Ac 5.226 3.393 9.816
Ac 5.286 -0.214 7.906
Ac 3.287 -0.905 4.263
Ac 4.560 4.513 2.553
Ac 6.530 5.206 6.179
Ac 3.954 -2.025 11.526
Ac 1.983 -2.717 7.900
Ac -0.299 0.332 6.233
Ac 7.463 0.206 11.519
Ac 8.813 2.156 7.846
Ac 1.051 2.282 2.560
Co 2.461 -0.081 6.985
Co 4.698 0.601 10.772
Co 6.053 2.569 7.094
Co 3.816 1.887 3.307
N 3.329 -4.683 7.392
N 5.184 7.171 6.687
```

Values from the calculation:
crystal system = monoclinic
formation energy from raw total energies = -0.206 eV/atom
total energy = -98.08 eV/cell

---

Record 5
Entry from Alexandria: crystalline TiSeI2 at its relaxed geometry (PBE-GGA).

```
8
Lattice="-8.082 -6.219 2.674 6.567 -6.190 5.451 -1.136 -4.862 6.042" Properties=species:S:1:pos:R:3 pbc="T T T"
I -3.271 -4.920 3.452
I 1.567 -6.818 5.663
I -0.410 -9.252 8.417
I -3.188 -13.553 10.802
Se 0.000 0.000 0.000
Se -4.988 -8.643 6.389
Ti -0.758 -6.204 4.063
Ti 2.336 -8.628 7.778
```

Values from the calculation:
crystal system = tetragonal
formation energy from raw total energies = -0.505 eV/atom
total energy = -33.00 eV/cell

---

Record 6
Entry from Alexandria: crystalline Ac3Sb at its relaxed geometry (PBE-GGA).

```
4
Lattice="-2.884 0.965 3.504 -3.590 -0.202 -2.899 -0.819 -8.200 1.585" Properties=species:S:1:pos:R:3 pbc="T T T"
Sb -0.067 -0.672 0.130
Ac -2.157 -3.726 -0.749
Ac -3.306 -0.312 0.437
Ac -2.035 -5.460 2.901
```

Values from the calculation:
crystal system = orthorhombic
formation energy from raw total energies = -0.276 eV/atom
total energy = -17.55 eV/cell

---

Record 7
Entry from Alexandria: crystalline CrFe2Tc at its relaxed geometry (PBE-GGA).

```
4
Lattice="4.409 -0.001 -0.005 3.659 2.460 -0.005 0.720 0.219 4.433" Properties=species:S:1:pos:R:3 pbc="T T T"
Cr 2.225 0.678 0.991
Fe 8.068 2.459 0.024
Fe 6.564 2.000 3.341
Tc 4.395 1.339 2.267
```

Values from the calculation:
DFT formation energy = 13.7 kJ/mol of atoms
crystal system = monoclinic
total energy = -36.35 eV/cell

---

Record 8
Entry from Alexandria: crystalline GaGeTe2 at its relaxed geometry (PBE-GGA).

```
8
Lattice="2.081 -3.604 0.000 2.081 3.604 0.000 0.000 0.000 17.407" Properties=species:S:1:pos:R:3 pbc="T T T"
Ga 2.081 1.201 5.758
Ga 2.081 -1.201 11.649
Ge 2.081 -1.201 14.325
Ge 2.081 1.201 3.082
Te 2.081 1.201 15.725
Te 2.081 -1.201 1.682
Te 2.081 -1.201 7.048
Te 2.081 1.201 10.360
```

Values from the calculation:
crystal system = trigonal
formation energy from raw total energies = -0.081 eV/atom
total energy = -28.50 eV/cell